A plane-wave DFT calculation with PBE was carried out for crystalline ReTeRhN2 at its relaxed geometry.

POSCAR file:
```
ReTeRhN2
1.0
3.796 0.000 0.000
0.000 3.796 0.000
0.000 0.000 6.605
Re Te Rh N
1 1 1 2
direct
0.500 0.500 0.500 Re
0.000 0.000 0.500 Te
0.000 0.000 0.000 Rh
0.000 0.500 0.000 N
0.500 0.000 0.000 N
```

Results
relative energy among the computed polymorphs	1086.8	meV per atom
total magnetization	3.2	μB per formula unit
formation energy (no corrections)	166	kJ per mole of atoms
mass density	7.76	g/cm3
DOS at the Fermi energy	3.31	states/eV/cell
calculated total energy	-6.19	eV per atom

A plane-wave DFT calculation with PBE was carried out for crystalline CdPt5 at its relaxed geometry.

POSCAR file:
```
CdPt5
1.0
4.000 0.000 0.000
0.000 5.689 0.000
0.000 0.000 8.551
Cd Pt
2 10
direct
0.750 0.624 0.250 Cd
0.250 0.376 0.750 Cd
0.750 0.126 0.250 Pt
0.250 0.874 0.750 Pt
0.250 0.879 0.416 Pt
0.750 0.121 0.916 Pt
0.750 0.121 0.584 Pt
0.250 0.879 0.084 Pt
0.250 0.368 0.419 Pt
0.750 0.632 0.919 Pt
0.750 0.632 0.581 Pt
0.250 0.368 0.081 Pt
```

Results
total magnetization	0.0	μB per formula unit
ΔE_f	-0.1243	eV/atom
mass density	18.57	g/cm3
DOS at the Fermi energy	16.28	states/eV/cell
calculated total energy	-5.31	eV per atom

A plane-wave DFT calculation with PBE was carried out for crystalline Ca2HfScTc at its relaxed geometry.

POSCAR file:
```
Ca2HfScTc
1.0
-0.130 2.298 -5.036
-4.488 -0.439 -0.085
-0.533 5.009 2.300
Sc Ca Hf Tc
1 2 1 1
direct
0.000 0.000 0.000 Sc
0.000 0.000 0.500 Ca
0.500 0.000 0.000 Ca
0.500 0.500 0.500 Hf
0.000 0.500 0.000 Tc
```

Results
total magnetization	0.0	μB per formula unit
ΔE_f	1.2169	eV/atom
mass density	4.82	g/cm3
DOS at the Fermi energy	5.57	states/eV/cell
calculated total energy	-4.91	eV per atom

A plane-wave DFT calculation with PBE was carried out for crystalline SrAl2As at its relaxed geometry.

POSCAR file:
```
SrAl2As
1.0
4.710 0.000 0.000
0.000 4.850 -0.057
0.000 0.971 4.587
Sr As Al
1 1 2
direct
0.500 0.750 0.750 Sr
0.500 0.250 0.250 As
0.000 0.104 0.038 Al
0.000 0.396 0.462 Al
```

Results
total magnetization	0.0	μB per formula unit
ΔE_f	-0.2550	eV/atom
mass density	3.42	g/cm3
DOS at the Fermi energy	2.06	states/eV/cell
calculated total energy	-3.71	eV per atom

A plane-wave DFT calculation with PBE was carried out for crystalline MnFeBr at its relaxed geometry.

POSCAR file:
```
MnFeBr
1.0
3.233 0.000 0.000
-1.617 2.800 0.000
0.000 0.000 5.851
Br Fe Mn
1 1 1
direct
0.000 0.000 0.010 Br
0.667 0.333 0.339 Fe
0.333 0.667 0.650 Mn
```

Results
total magnetization	7.0	μB per formula unit
formation energy (no corrections)	42	kJ per mole of atoms
mass density	5.98	g/cm3
DOS at the Fermi energy	3.38	states/eV/cell
calculated total energy	-6.00	eV per atom

A plane-wave DFT calculation with PBE was carried out for crystalline RbZnGa2Os at its relaxed geometry.

POSCAR file:
```
RbZnGa2Os
1.0
-1.697 -4.553 -0.529
1.798 -0.143 -4.543
4.356 -1.831 1.782
Zn Os Ga Rb
1 1 2 1
direct
0.000 0.000 0.500 Zn
0.000 0.000 0.000 Os
0.000 0.500 0.000 Ga
0.500 0.000 0.000 Ga
0.500 0.500 0.500 Rb
```

Results
total magnetization	0.0	μB per formula unit
ΔE_f	-0.0864	eV/atom
mass density	6.61	g/cm3
DOS at the Fermi energy	1.51	states/eV/cell
calculated total energy	-3.99	eV per atom

A plane-wave DFT calculation with PBE was carried out for crystalline Cs3KCu2Br9 at its relaxed geometry.

POSCAR file:
```
Cs3KCu2Br9
1.0
7.625 0.000 0.000
-3.813 6.604 0.000
0.000 0.000 10.330
Cs K Cu Br
3 1 2 9
direct
0.333 0.667 0.702 Cs
0.000 0.000 0.000 Cs
0.667 0.333 0.298 Cs
0.000 0.000 0.500 K
0.333 0.667 0.151 Cu
0.667 0.333 0.849 Cu
0.825 0.175 0.714 Br
0.825 0.649 0.714 Br
0.351 0.175 0.714 Br
0.649 0.825 0.286 Br
0.175 0.351 0.286 Br
0.175 0.825 0.286 Br
0.500 0.000 0.000 Br
0.000 0.500 0.000 Br
0.500 0.500 0.000 Br
```

Results
total magnetization	0.0	μB per formula unit
formation energy (no corrections)	-98	kJ per mole of atoms
mass density	4.10	g/cm3
DOS at the Fermi energy	12.14	states/eV/cell
calculated total energy	-2.81	eV per atom

A plane-wave DFT calculation with PBE was carried out for crystalline Ni2AuI at its relaxed geometry.

POSCAR file:
```
Ni2AuI
1.0
5.883 0.000 0.000
0.000 5.883 0.000
2.941 2.941 5.496
I Ni Au
2 4 2
direct
0.500 0.500 0.000 I
0.250 0.750 0.500 I
0.623 0.125 0.250 Ni
0.127 0.625 0.250 Ni
0.375 0.377 0.750 Ni
0.875 0.873 0.750 Ni
0.000 0.000 0.000 Au
0.750 0.250 0.500 Au
```

Results
relative energy among the computed polymorphs	51.7	meV per atom
total magnetization	2.0	μB per formula unit
formation energy (no corrections)	57	kJ per mole of atoms
mass density	7.70	g/cm3
DOS at the Fermi energy	10.50	states/eV/cell
calculated total energy	-3.50	eV per atom